Here is a relaxed BeCuSe2 crystal from Alexandria. Energies are from PBEsol.

Cell lengths 6.3978, 6.3978, 6.3978 Å; angles 130.93, 130.93, 71.92 degrees
With the nearest neighbours (Å) after each atom.
Sites, in units of the cell vectors:
1 Be 0.0000 0.0000 0.0000  4 Se 2.22
2 Be 0.7500 0.2500 0.5000  4 Se 2.22
3 Cu 0.2500 0.7500 0.5000  4 Se 2.35
4 Cu 0.5000 0.5000 0.0000  4 Se 2.35
5 Se 0.1032 0.6250 0.9782  2 Be 2.22, 2 Cu 2.35
6 Se 0.3750 0.3532 0.4782  2 Be 2.22, 2 Cu 2.35
7 Se 0.6468 0.1250 0.0218  2 Be 2.22, 2 Cu 2.35
8 Se 0.8750 0.8968 0.5218  2 Be 2.22, 2 Cu 2.35

Output
- DOS at the Fermi energy (states/eV per cell) = 5.626
- total magnetization (μB per cell) = 0.001
- uncorrected formation energy (eV/atom) = -0.394